1.
{
  "formula": "GaTcB4",
  "functional": "PBE-GGA",
  "state": "relaxed",
  "lattice": [[3.009, 0.000, 0.000], [-1.505, 2.606, 0.000], [0.000, 0.000, 7.123]],
  "species": ["B", "B", "B", "B", "Ga", "Tc"],
  "frac_coords": [[0.333, 0.667, 0.762], [0.333, 0.667, 0.238], [0.667, 0.333, 0.238], [0.667, 0.333, 0.762], [0.000, 0.000, 0.500], [0.000, 0.000, 0.000]],
  "sg": "P6/mmm (191)",
  "energy_ev_per_atom": -6.51,
  "de_polymorph_mev_per_atom": 37.1,
  "density_g_cm3": 6.3
}

***

2.
{
  "formula": "TmZnTe3Pb",
  "functional": "PBE-GGA",
  "state": "relaxed",
  "lattice": [[-7.337, -6.710, 5.138], [1.671, -3.429, -2.092], [9.581, -2.046, 11.010]],
  "species": ["Pb", "Pb", "Pb", "Pb", "Te", "Te", "Te", "Te", "Te", "Te", "Te", "Te", "Te", "Te", "Te", "Te", "Zn", "Zn", "Zn", "Zn", "Tm", "Tm", "Tm", "Tm"],
  "frac_coords": [[0.728, 0.250, 0.534], [0.228, 0.250, 0.966], [0.272, 0.750, 0.466], [0.772, 0.750, 0.034], [0.569, 0.250, 0.106], [0.238, 0.250, 0.662], [0.465, 0.250, 0.388], [0.035, 0.750, 0.888], [0.738, 0.250, 0.838], [0.431, 0.750, 0.894], [0.262, 0.750, 0.162], [0.535, 0.750, 0.612], [0.069, 0.250, 0.394], [0.762, 0.750, 0.338], [0.965, 0.250, 0.112], [0.931, 0.750, 0.606], [0.737, 0.750, 0.722], [0.263, 0.250, 0.278], [0.763, 0.250, 0.222], [0.237, 0.750, 0.778], [0.515, 0.750, 0.246], [0.485, 0.250, 0.754], [0.985, 0.250, 0.746], [0.015, 0.750, 0.254]],
  "sg": "Pnma (62)",
  "energy_ev_per_atom": -3.80,
  "density_g_cm3": 7.6
}

***

3.
{
  "formula": "HoAl3",
  "functional": "PBE-GGA",
  "state": "relaxed",
  "lattice": [[6.244, 0.000, 0.000], [-3.122, 5.408, 0.000], [0.000, 0.000, 4.614]],
  "species": ["Ho", "Ho", "Al", "Al", "Al", "Al", "Al", "Al"],
  "frac_coords": [[0.000, 0.000, 0.000], [0.333, 0.667, 0.500], [0.962, 0.481, 0.000], [0.372, 0.186, 0.500], [0.519, 0.481, 0.000], [0.814, 0.628, 0.500], [0.519, 0.038, 0.000], [0.814, 0.186, 0.500]],
  "sg": "P6_3/mmc (194)",
  "energy_ev_per_atom": -4.38,
  "density_g_cm3": 5.2
}

***

4.
{
  "formula": "PuTaHg",
  "functional": "PBE-GGA",
  "state": "relaxed",
  "lattice": [[0.000, 3.343, 3.343], [3.343, 0.000, 3.343], [3.343, 3.343, 0.000]],
  "species": ["Hg", "Pu", "Ta"],
  "frac_coords": [[0.000, 0.000, 0.000], [0.500, 0.500, 0.500], [0.250, 0.250, 0.250]],
  "sg": "F-43m (216)",
  "energy_ev_per_atom": -7.95,
  "de_polymorph_mev_per_atom": 0.0,
  "density_g_cm3": 13.9,
  "formation_energy_ev_per_atom": 0.8100
}

***

5.
{
  "formula": "AsOsPbO",
  "functional": "PBE-GGA",
  "state": "relaxed",
  "lattice": [[4.223, 0.000, 0.000], [0.000, 4.223, 0.000], [0.000, 0.000, 8.239]],
  "species": ["Pb", "Pb", "O", "O", "Os", "Os", "As", "As"],
  "frac_coords": [[0.750, 0.250, 0.500], [0.250, 0.750, 0.500], [0.250, 0.750, 0.000], [0.750, 0.250, 0.000], [0.250, 0.250, 0.082], [0.750, 0.750, 0.918], [0.250, 0.250, 0.793], [0.750, 0.750, 0.207]],
  "sg": "P4/nmm (129)",
  "energy_ev_per_atom": -5.50,
  "de_polymorph_mev_per_atom": 1027.7,
  "density_g_cm3": 11.0
}

***

6.
{
  "formula": "FeReHgAs",
  "functional": "PBE-GGA",
  "state": "relaxed",
  "lattice": [[-1.445, 0.009, 4.226], [-1.905, 3.664, 1.701], [-4.382, 0.044, 0.862]],
  "species": ["Re", "Hg", "Fe", "As"],
  "frac_coords": [[0.250, 0.250, 0.250], [0.500, 0.500, 0.500], [0.750, 0.750, 0.750], [0.000, 0.000, 0.000]],
  "sg": "F-43m (216)",
  "energy_ev_per_atom": -5.67,
  "de_polymorph_mev_per_atom": 0.0,
  "density_g_cm3": 13.6
}

***

7.
{
  "formula": "Gd3Mg3CdAu2",
  "functional": "PBE-GGA",
  "state": "relaxed",
  "lattice": [[7.738, 0.000, 0.000], [-3.869, 6.701, 0.000], [0.000, 0.000, 4.162]],
  "species": ["Mg", "Mg", "Mg", "Gd", "Gd", "Gd", "Cd", "Au", "Au"],
  "frac_coords": [[0.254, 0.254, 0.500], [0.000, 0.746, 0.500], [0.746, 0.000, 0.500], [0.419, 0.000, 0.000], [0.581, 0.581, 0.000], [0.000, 0.419, 0.000], [0.000, 0.000, 0.000], [0.333, 0.667, 0.500], [0.667, 0.333, 0.500]],
  "sg": "P-62m (189)",
  "energy_ev_per_atom": -3.42,
  "density_g_cm3": 8.1
}

***

8.
{
  "formula": "ZnCoHgMo",
  "functional": "PBE-GGA",
  "state": "relaxed",
  "lattice": [[-2.747, -3.325, 0.993], [-3.112, 0.551, 3.099], [-4.265, 0.231, -1.162]],
  "species": ["Mo", "Co", "Zn", "Hg"],
  "frac_coords": [[0.500, 0.500, 0.500], [0.750, 0.750, 0.750], [0.000, 0.000, 0.000], [0.250, 0.250, 0.250]],
  "sg": "F-43m (216)",
  "energy_ev_per_atom": -4.33,
  "de_polymorph_mev_per_atom": 0.0,
  "density_g_cm3": 11.4,
  "formation_energy_ev_per_atom": 0.5473
}

***

9.
{
  "formula": "YZrAu4",
  "functional": "PBE-GGA",
  "state": "relaxed",
  "lattice": [[3.655, 0.000, 0.000], [0.000, 3.655, 0.000], [0.000, 0.000, 8.957]],
  "species": ["Au", "Au", "Au", "Au", "Zr", "Y"],
  "frac_coords": [[0.000, 0.000, 0.339], [0.500, 0.500, 0.173], [0.500, 0.500, 0.827], [0.000, 0.000, 0.661], [0.500, 0.500, 0.500], [0.000, 0.000, 0.000]],
  "sg": "P4/mmm (123)",
  "energy_ev_per_atom": -5.40,
  "density_g_cm3": 13.4,
  "formation_energy_ev_per_atom": -0.7169
}

***

10.
{
  "formula": "KHfTe2PdS",
  "functional": "PBE-GGA",
  "state": "relaxed",
  "lattice": [[8.873, 0.000, 0.000], [0.000, 3.847, 0.000], [-4.269, 0.000, 9.554]],
  "species": ["Te", "Te", "Te", "Te", "Pd", "Pd", "K", "K", "S", "S", "Hf", "Hf"],
  "frac_coords": [[0.590, 0.750, 0.869], [0.239, 0.750, 0.450], [0.410, 0.250, 0.131], [0.761, 0.250, 0.550], [0.403, 0.250, 0.386], [0.597, 0.750, 0.614], [0.774, 0.750, 0.254], [0.226, 0.250, 0.746], [0.031, 0.750, 0.879], [0.969, 0.250, 0.121], [0.176, 0.750, 0.153], [0.824, 0.250, 0.847]],
  "sg": "P2_1/m (11)",
  "energy_ev_per_atom": -5.44,
  "de_polymorph_mev_per_atom": 0.0,
  "density_g_cm3": 6.2
}

***

11.
{
  "formula": "NdMgTe3Au",
  "functional": "PBE-GGA",
  "state": "relaxed",
  "lattice": [[-3.075, 2.894, -12.057], [-3.859, -1.997, 0.505], [-5.239, 11.139, 4.009]],
  "species": ["Nd", "Nd", "Nd", "Nd", "Te", "Te", "Te", "Te", "Te", "Te", "Te", "Te", "Te", "Te", "Te", "Te", "Mg", "Mg", "Mg", "Mg", "Au", "Au", "Au", "Au"],
  "frac_coords": [[0.464, 0.500, 0.186], [0.964, 0.500, 0.314], [0.036, 0.000, 0.686], [0.536, 0.000, 0.814], [0.433, 0.000, 0.366], [0.892, 0.500, 0.560], [0.567, 0.500, 0.634], [0.608, 0.000, 0.060], [0.673, 0.500, 0.348], [0.173, 0.500, 0.152], [0.392, 0.500, 0.940], [0.933, 0.000, 0.134], [0.827, 0.000, 0.848], [0.067, 0.500, 0.866], [0.327, 0.000, 0.652], [0.108, 0.000, 0.440], [0.749, 0.500, 0.129], [0.249, 0.500, 0.371], [0.251, 0.000, 0.871], [0.751, 0.000, 0.629], [0.725, 0.500, 0.779], [0.275, 0.000, 0.221], [0.225, 0.500, 0.721], [0.775, 0.000, 0.279]],
  "sg": "Pnma (62)",
  "energy_ev_per_atom": -3.98,
  "de_polymorph_mev_per_atom": 20.1,
  "density_g_cm3": 6.9
}

***

12.
{
  "formula": "PaBrCl3",
  "functional": "PBE-GGA",
  "state": "relaxed",
  "lattice": [[6.294, -4.176, 0.000], [6.294, 4.176, 0.000], [-6.012, 0.000, 6.416]],
  "species": ["Cl", "Cl", "Cl", "Cl", "Cl", "Cl", "Pa", "Pa", "Br", "Br"],
  "frac_coords": [[0.802, 0.802, 0.826], [0.198, 0.198, 0.174], [0.778, 0.268, 0.310], [0.268, 0.778, 0.310], [0.222, 0.732, 0.690], [0.732, 0.222, 0.690], [0.757, 0.243, 0.000], [0.243, 0.757, 0.000], [0.709, 0.709, 0.183], [0.292, 0.292, 0.817]],
  "sg": "C2/m (12)",
  "energy_ev_per_atom": -5.06,
  "density_g_cm3": 4.1
}